MnPbAu | GGA-PBE | relaxed

a = 4.5433 Å, b = 4.5433 Å, c = 3.6423 Å
α = 90.00°, β = 90.00°, γ = 120.00°
Sites, in units of the cell vectors:
Mn 0.0000 0.0000 0.0000
Pb 0.6667 0.3333 0.4169
Au 0.3333 0.6667 0.8152

Formation energy from the elements: 238.2 meV/atom
Density of states at the Fermi level: 2.07 states/eV/f.u.
Size of the total moment: 4.1 μB per formula unit
Calculated volume: 65 Å³/cell
Crystal system: trigonal